Here is OsRuRh after structural relaxation from the Alexandria database. Energies are from GGA-PBEsol. Values from VASP.

The crystal system is orthorhombic. For the total magnetization, the calculation gives 0.000 μB per atom. Its space group is Imm2, No. 44. The value obtained for the total energy is -30.35 eV per cell. The calculation puts the formation energy at 0.06 eV/atom. The value obtained for the energy relative to the lowest polymorph listed for this composition is 0.0035 eV/atom.

```
&SYSTEM
  ibrav = 0, nat = 3, ntyp = 3
/
ATOMIC_SPECIES
Os 190.23 Os.upf
Ru 101.07 Ru.upf
Rh 102.91 Rh.upf
ATOMIC_POSITIONS angstrom
Os 0.000 0.000 0.000
Ru 0.000 0.000 2.733
Rh 0.000 0.000 5.383
CELL_PARAMETERS angstrom
-1.337 1.893 4.020
1.337 -1.893 4.020
1.337 1.893 -4.020
```